1.
Here is a relaxed structure of Ac3BiO7 from Alexandria. Energies are from GGA-PBE.

a = 7.0821 Å, b = 7.0821 Å, c = 8.2694 Å
α = 90.00°, β = 90.00°, γ = 109.94°
Atoms (fractional coordinates):
Ac: 0.5002 0.5002 0.0000
Ac: 0.4724 0.0004 0.7500
Ac: 0.4998 0.4998 0.5000
Ac: 0.9996 0.5276 0.7500
Ac: 0.5276 0.9996 0.2500
Ac: 0.0004 0.4724 0.2500
O: 0.6283 0.3717 0.7500
O: 0.3717 0.6283 0.2500
O: 0.6812 0.9273 0.9742
O: 0.0659 0.9341 0.7500
O: 0.6339 0.3661 0.2500
O: 0.3188 0.0727 0.4742
O: 0.9273 0.6812 0.0258
O: 0.3186 0.0722 0.0259
O: 0.3661 0.6339 0.7500
O: 0.9341 0.0659 0.2500
O: 0.9278 0.6814 0.4741
O: 0.6814 0.9278 0.5259
O: 0.0727 0.3188 0.5258
O: 0.0722 0.3186 0.9741
Bi: 0.0000 0.0000 0.0000
Bi: 0.0000 0.0000 0.5000

Properties
**Theoretical density**: 8.535 g/cm³
**Raw formation energy**: -2.6665 eV/atom


2.
Here is a relaxed structure of Sr3ReP from Alexandria. Energies are from GGA-PBE.

a = 5.7724 Å, b = 5.7724 Å, c = 5.7724 Å
α = 90.00°, β = 90.00°, γ = 90.00°
Atoms (fractional coordinates):
Sr: 0.0000 0.0000 0.5000
Sr: 0.5000 0.0000 0.0000
Sr: 0.0000 0.5000 0.0000
P: 0.0000 0.0000 0.0000
Re: 0.5000 0.5000 0.5000

Properties
**Energy above the most stable polymorph in this dataset**: 0 meV per atom
**Theoretical density**: 4.144 g/cm³
**Energy relative to the elements**: 276.3 kJ/mol of formula units


- Which value of theoretical density does entry 1 give?
  8.535 g/cm³